# 1
VASP calculation (PBE+U) on a geometry-optimized BeCo2O4 structure.

* excess energy over the best structure of this formula in the dataset: 0.000 eV per atom
* density of states at the Fermi level: 0.0 states/eV per cell
* crystal system: cubic
* magnetic moment: 0.00 μB per atom

Structure (POSCAR):
```
BeCo2O4
1.0
5.473 0.000 0.000
2.736 4.739 0.000
2.736 1.580 4.468
Be Co O
2 4 8
Cartesian
0.000 0.000 0.000
2.736 1.580 1.117
5.473 3.160 0.559
6.841 3.950 2.793
5.473 1.580 2.793
4.105 3.950 2.793
6.815 2.385 1.686
8.209 3.189 3.899
8.209 4.739 1.707
5.473 4.710 1.686
4.130 2.385 1.686
6.866 5.515 3.899
9.552 5.515 3.899
5.473 3.160 3.879
```

***

# 2
VASP calculation (PBE+U) on a geometry-optimized BeCo2O structure.

* excess energy over the best structure of this formula in the dataset: 0.263 eV per atom
* density of states at the Fermi level: 5.1 states/eV per cell
* crystal system: cubic
* magnetic moment: 0.93 μB per atom

Structure (POSCAR):
```
BeCo2O
1.0
3.757 -0.728 0.207
1.313 -3.523 -0.743
2.002 -0.664 -3.200
Be Co O
1 2 1
Cartesian
0.000 0.000 0.000
1.768 -1.229 -0.934
5.304 -3.687 -2.802
3.536 -2.458 -1.868
```

***

# 3
VASP calculation (PBE+U) on a geometry-optimized BeCoO2 structure.

* energy: -25.94 eV/f.u.
* crystal system: orthorhombic
* magnetic moment: 0.75 μB per atom

Structure (POSCAR):
```
BeCoO2
1.0
2.916 0.000 0.001
0.000 4.146 0.000
-0.001 0.000 6.140
Be Co O
2 2 4
Cartesian
0.585 3.598 1.328
2.043 1.525 6.138
0.586 3.607 4.627
2.043 1.534 2.840
2.043 2.679 1.208
2.044 2.276 4.681
0.585 0.204 2.786
0.586 0.607 0.119
```

***

# 4
VASP calculation (PBE+U) on a geometry-optimized BeCoO structure.

* density of states at the Fermi level: 0.4 states/eV per cell
* energy: -17.95 eV/f.u.
* crystal system: monoclinic
* magnetic moment: 0.60 μB per atom

Structure (POSCAR):
```
BeCoO
1.0
-1.092 2.341 -0.778
-1.048 0.241 -2.474
-7.759 -3.720 4.406
Co Be O
2 2 2
Cartesian
-2.090 -0.747 0.871
-1.891 1.523 -1.934
-4.744 -0.525 0.527
-7.018 -2.381 2.767
-4.135 -1.421 1.652
-7.629 -1.485 1.643
```

***

# 5
VASP calculation (PBE+U) on a geometry-optimized BeCo2O structure.

* excess energy over the best structure of this formula in the dataset: 0.000 eV per atom
* density of states at the Fermi level: 6.2 states/eV per cell
* crystal system: tetragonal
* magnetic moment: 1.17 μB per atom

Structure (POSCAR):
```
BeCo2O
1.0
5.645 0.000 0.000
0.000 5.645 0.000
2.822 2.822 2.816
Be Co O
2 4 2
Cartesian
2.822 2.822 0.000
2.822 5.645 1.408
4.478 1.411 0.704
1.167 4.234 0.704
4.234 3.990 2.112
7.056 7.300 2.112
0.000 0.000 0.000
5.645 2.822 1.408
```

***

# 6
VASP calculation (PBE+U) on a geometry-optimized BeCo3O structure.

* density of states at the Fermi level: 5.4 states/eV per cell
* energy: -18.77 eV/f.u.
* crystal system: cubic
* magnetic moment: 1.12 μB per atom

Structure (POSCAR):
```
BeCo3O
1.0
-3.363 -1.187 -1.658
1.044 -3.749 0.568
-1.752 0.045 3.521
Be Co O
1 3 1
Cartesian
0.000 0.000 0.000
0.522 -1.875 0.284
-0.876 0.023 1.760
-1.681 -0.594 -0.829
-2.036 -2.446 1.215
```

***

# 7
VASP calculation (PBE+U) on a geometry-optimized BeCoO2 structure.

* density of states at the Fermi level: 4.1 states/eV per cell
* energy: -24.04 eV/f.u.
* crystal system: trigonal
* magnetic moment: 0.75 μB per atom

Structure (POSCAR):
```
BeCoO2
1.0
-1.216 -2.149 4.800
1.571 -3.190 4.061
1.247 -0.378 5.238
Be Co O
1 1 2
Cartesian
0.000 0.000 0.000
0.801 -2.858 7.049
1.452 -5.183 12.781
0.150 -0.534 1.317
```

***

# 8
VASP calculation (PBE+U) on a geometry-optimized BeCoO2 structure.

* density of states at the Fermi level: 2.1 states/eV per cell
* energy: -23.85 eV/f.u.
* crystal system: trigonal
* magnetic moment: 0.67 μB per atom

Structure (POSCAR):
```
BeCoO2
1.0
4.922 -0.053 2.679
5.549 -0.765 0.154
5.235 1.839 0.783
Be Co O
1 1 2
Cartesian
7.853 0.511 1.808
0.000 0.000 0.000
14.007 0.911 3.225
1.699 0.110 0.391
```

***

Q: The lowest magnetic moment belongs to which entry?
A: BeCo2O4